(1)
The following is a DFT calculation (meta-GGA SCAN) of TlInAs2 at its PBEsol-relaxed geometry.

Theoretical density = 6.7 g/cm3
Energy relative to the elements = -10 kJ per mole of atoms
D(E_F) = 0.3 states/eV/cell
Crystal system = tetragonal

a = 7.537 Å, b = 7.537 Å, c = 7.537 Å
α = 131.81°, β = 131.81°, γ = 70.53°
Atoms (fractional coordinates):
Tl: 0.000 0.000 0.000
Tl: 0.750 0.250 0.500
In: 0.250 0.750 0.500
In: 0.500 0.500 0.000
As: 0.133 0.625 0.008
As: 0.375 0.383 0.508
As: 0.617 0.125 0.992
As: 0.875 0.867 0.492

***

(2)
The following is a DFT calculation (meta-GGA SCAN) of TlInAs2 at its PBEsol-relaxed geometry.

Theoretical density = 8.1 g/cm3
Energy relative to the elements = 10 kJ per mole of atoms
D(E_F) = 1.5 states/eV/cell
Crystal system = orthorhombic

a = 5.993 Å, b = 5.993 Å, c = 5.993 Å
α = 145.55°, β = 126.93°, γ = 64.82°
Atoms (fractional coordinates):
Tl: 0.000 0.000 0.000
In: 0.716 0.216 0.500
As: 0.273 0.773 0.500
As: 0.446 0.446 0.000

***

(3)
The following is a DFT calculation (meta-GGA SCAN) of TlInAs2 at its PBEsol-relaxed geometry.

Theoretical density = 8.6 g/cm3
Energy relative to the elements = 28 kJ per mole of atoms
D(E_F) = 1.7 states/eV/cell
Crystal system = orthorhombic

a = 3.162 Å, b = 3.162 Å, c = 9.367 Å
α = 90.00°, β = 90.00°, γ = 103.57°
Atoms (fractional coordinates):
Tl: 0.000 0.000 0.000
In: 0.000 0.000 0.500
As: 0.500 0.500 0.272
As: 0.500 0.500 0.728

***

(4)
The following is a DFT calculation (meta-GGA SCAN) of In2AsW at its PBEsol-relaxed geometry.

Theoretical density = 10.0 g/cm3
Energy relative to the elements = 27 kJ per mole of atoms
D(E_F) = 1.8 states/eV/cell
Crystal system = tetragonal

a = 3.118 Å, b = 3.118 Å, c = 8.318 Å
α = 90.00°, β = 90.00°, γ = 90.00°
Atoms (fractional coordinates):
In: 0.000 0.000 0.000
In: 0.500 0.500 0.317
As: 0.500 0.500 0.716
W: 0.000 0.000 0.556